1.
An optimized crystal structure of K2VSe4, computed with PBE-GGA.

Output
Raw formation energy = -0.651 eV/atom
Excess energy over the best structure of this formula in the dataset = 20.8 kJ per mole of atoms
VASP energy = -4.26 eV/atom
Crystal system = tetragonal

```
7
Lattice="-2.459 2.459 8.325 2.459 -2.459 8.325 2.459 2.459 -8.325" Properties=species:S:1:pos:R:3 pbc="T T T"
K 0.000 0.000 2.503
K 0.000 0.000 14.147
V 0.000 0.000 8.325
Se 2.459 0.000 0.000
Se 0.000 0.000 5.859
Se 0.000 2.459 0.000
Se 0.000 0.000 10.791
```

2.
An optimized crystal structure of K2VSe2, computed with PBE-GGA.

Output
Raw formation energy = -0.863 eV/atom
VASP energy = -4.52 eV/atom
Crystal system = orthorhombic

```
10
Lattice="-3.742 6.530 3.132 3.742 -6.530 3.132 3.742 6.530 -3.132" Properties=species:S:1:pos:R:3 pbc="T T T"
K 1.136 1.899 0.000
K 1.136 -1.899 3.132
K 2.606 8.429 0.000
K 2.606 4.631 3.132
V 3.742 0.000 1.566
V 0.000 6.530 1.566
Se 5.224 1.335 0.000
Se 1.482 5.195 0.000
Se 2.261 1.335 3.132
Se -1.482 5.195 3.132
```

3.
An optimized crystal structure of K2V3Se6, computed with PBE-GGA.

Output
Raw formation energy = -0.863 eV/atom
VASP energy = -5.45 eV/atom
Crystal system = monoclinic

```
11
Lattice="3.197 -5.462 0.000 3.197 5.462 0.000 -2.298 0.000 7.832" Properties=species:S:1:pos:R:3 pbc="T T T"
K 3.197 3.716 0.000
K 3.197 -3.716 0.000
V -1.149 0.000 3.916
V 2.048 2.042 3.916
V 2.048 -2.042 3.916
Se -0.042 1.769 5.413
Se 1.030 0.000 2.592
Se -0.042 -1.769 5.413
Se 4.139 1.769 2.419
Se 3.066 0.000 5.241
Se 4.139 -1.769 2.419
```

4.
An optimized crystal structure of K3VSe4, computed with PBE-GGA.

Output
Raw formation energy = -0.972 eV/atom
VASP energy = -4.27 eV/atom
Crystal system = tetragonal

```
8
Lattice="-3.524 3.524 6.553 3.524 -3.524 6.553 3.524 3.524 -6.553" Properties=species:S:1:pos:R:3 pbc="T T T"
K 0.000 0.000 0.000
K 3.524 0.000 3.277
K 0.000 3.524 3.277
V 0.000 0.000 6.553
Se 2.184 2.184 -1.301
Se 1.340 -1.340 7.855
Se 1.340 1.340 5.252
Se -1.340 1.340 7.855
```

5.
An optimized crystal structure of KV3Se3, computed with PBE-GGA.

Output
Raw formation energy = -0.753 eV/atom
VASP energy = -6.31 eV/atom
Crystal system = hexagonal

```
14
Lattice="9.180 0.000 0.000 -4.590 7.950 0.000 0.000 0.000 4.360" Properties=species:S:1:pos:R:3 pbc="T T T"
K 0.000 5.300 1.090
K 4.590 2.650 3.270
V -3.611 6.773 1.090
V 0.530 1.436 1.090
V 1.508 0.259 3.270
V 3.082 7.691 1.090
V 4.060 6.514 3.270
V 8.201 1.177 3.270
Se -2.715 5.680 3.270
Se 1.028 2.758 3.270
Se 2.903 0.489 1.090
Se 1.687 7.461 3.270
Se 3.562 5.191 1.090
Se 7.305 2.270 1.090
```

6.
An optimized crystal structure of K2V3Se5, computed with PBE-GGA.

Output
Raw formation energy = -0.817 eV/atom
VASP energy = -5.51 eV/atom
Crystal system = monoclinic

```
10
Lattice="7.394 -2.122 0.000 7.394 2.122 0.000 -2.908 0.000 8.021" Properties=species:S:1:pos:R:3 pbc="T T T"
K 1.988 0.000 1.716
K 9.893 0.000 6.305
V -1.454 0.000 4.010
V 5.960 0.000 1.917
V 5.920 0.000 6.104
Se -0.307 0.000 6.370
Se 4.325 0.000 4.286
Se 7.394 0.000 0.000
Se 7.555 0.000 3.735
Se 12.187 0.000 1.651
```

7.
An optimized crystal structure of K3Y3VSe8, computed with PBE-GGA.

Output
Raw formation energy = -1.477 eV/atom
VASP energy = -5.46 eV/atom
Crystal system = trigonal

```
15
Lattice="4.068 2.349 7.871 -4.068 2.349 7.871 0.000 -4.697 7.871" Properties=species:S:1:pos:R:3 pbc="T T T"
K -2.034 -1.174 7.871
K -2.034 1.174 15.742
K 0.000 2.349 7.871
Y -4.068 0.000 11.807
Y -2.034 1.174 3.936
Y 2.034 1.174 3.936
V 0.000 0.000 11.807
Se 0.000 0.000 5.568
Se -1.855 -1.071 13.305
Se 0.000 -2.142 10.308
Se -1.855 1.071 10.308
Se 1.855 -1.071 13.305
Se 0.000 2.142 13.305
Se 1.855 1.071 10.308
Se 0.000 0.000 18.045
```

8.
An optimized crystal structure of K4Zr3VSe8, computed with PBE-GGA.

Output
Raw formation energy = -1.243 eV/atom
VASP energy = -5.43 eV/atom
Crystal system = trigonal

```
16
Lattice="3.918 2.262 7.738 -3.918 2.262 7.738 0.000 -4.524 7.738" Properties=species:S:1:pos:R:3 pbc="T T T"
K 0.000 0.000 0.000
K -1.959 -1.131 7.738
K -1.959 1.131 15.476
K 0.000 2.262 7.738
Zr -3.918 0.000 11.607
Zr -1.959 1.131 3.869
Zr 1.959 1.131 3.869
V 0.000 0.000 11.607
Se 0.000 0.000 5.451
Se -1.919 -1.108 13.139
Se 0.000 -2.216 10.075
Se -1.919 1.108 10.075
Se 1.919 -1.108 13.139
Se 0.000 2.216 13.139
Se 1.919 1.108 10.075
Se 0.000 0.000 17.763
```

9.
An optimized crystal structure of K3ZrV2Se6, computed with PBE-GGA.

Output
Raw formation energy = -1.063 eV/atom
VASP energy = -5.31 eV/atom
Crystal system = monoclinic

```
12
Lattice="3.381 -5.854 0.000 3.381 5.854 0.000 -2.252 0.000 7.592" Properties=species:S:1:pos:R:3 pbc="T T T"
K 0.000 0.000 0.000
K 3.381 1.921 0.000
K 3.381 -1.921 0.000
Zr 2.255 0.000 3.796
V 2.255 3.896 3.796
V 2.255 -3.896 3.796
Se 1.094 2.010 2.348
Se -0.069 0.000 5.234
Se 1.094 -2.010 2.348
Se 3.416 2.010 5.244
Se 4.579 0.000 2.358
Se 3.416 -2.010 5.244
```

10.
An optimized crystal structure of K2ZrVSe4, computed with PBE-GGA.

Output
Raw formation energy = -0.986 eV/atom
VASP energy = -5.21 eV/atom
Crystal system = tetragonal

```
8
Lattice="-3.774 3.774 4.515 3.774 -3.774 4.515 3.774 3.774 -4.515" Properties=species:S:1:pos:R:3 pbc="T T T"
K 0.000 0.000 0.000
K 0.000 3.774 2.258
Zr 3.774 0.000 2.258
V 0.000 0.000 4.515
Se 1.959 -1.248 3.576
Se 2.526 1.816 0.939
Se 1.816 5.022 -0.939
Se 1.248 1.959 5.454
```